CuPbS2Cl: relaxed, PBE.

abc: 4.5233 4.5233 4.6850
angles: 90.00 90.00 90.00
Space group P4/mmm (No. 123)
Unique sites:
1 Cu 0.0000 0.0000 0.0000
2 Pb 0.5000 0.5000 0.5000
3 S 0.0000 0.5000 0.0000
4 Cl 0.0000 0.0000 0.5000

The spin magnetization comes out at 0.00 μB/f.u. The calculation puts the formation energy (no corrections) at -0.12 eV/atom. The calculation puts the energy above the most stable polymorph in this dataset at 0.000 eV/atom. The value obtained for the raw total energy is -3.70 eV per atom.

---

CuPbS2Cl: relaxed, PBE.

abc: 5.1675 5.1675 5.3440
angles: 90.00 90.00 90.00
Space group P4/mmm (No. 123)
Unique sites:
1 Cu 0.0000 0.0000 0.0000
2 Pb 0.5000 0.5000 0.5000
3 S 0.0000 0.5000 0.5000
4 Cl 0.5000 0.5000 0.0000

The spin magnetization comes out at 0.00 μB/f.u. The calculation puts the formation energy (no corrections) at 0.56 eV/atom. The calculation puts the energy above the most stable polymorph in this dataset at 0.680 eV/atom. The value obtained for the raw total energy is -3.02 eV per atom.

---

CuPbSCl2: relaxed, PBE.

abc: 5.2981 5.2981 5.2194
angles: 90.00 90.00 90.00
Space group P4/mmm (No. 123)
Unique sites:
1 Cu 0.0000 0.0000 0.0000
2 Pb 0.5000 0.5000 0.5000
3 S 0.5000 0.5000 0.0000
4 Cl 0.0000 0.5000 0.5000

The spin magnetization comes out at 0.00 μB/f.u. The calculation puts the formation energy (no corrections) at 0.19 eV/atom. The calculation puts the energy above the most stable polymorph in this dataset at 0.610 eV/atom. The value obtained for the raw total energy is -2.94 eV per atom.

---

CuPbSCl2: relaxed, PBE.

abc: 4.6826 4.6826 4.8928
angles: 90.00 90.00 90.00
Space group P4/mmm (No. 123)
Unique sites:
1 Cu 0.0000 0.0000 0.0000
2 Pb 0.5000 0.5000 0.5000
3 S 0.0000 0.0000 0.5000
4 Cl 0.0000 0.5000 0.0000

The spin magnetization comes out at 0.00 μB/f.u. The calculation puts the formation energy (no corrections) at -0.42 eV/atom. The calculation puts the energy above the most stable polymorph in this dataset at 0.000 eV/atom. The value obtained for the raw total energy is -3.55 eV per atom.